First-principles (PBE) data for a geometry-optimized Li2AcSmTl2 structure, as listed in the Alexandria database.

Fermi-level density of states = 8.83 states/eV per cell
Energy relative to the elements = -273 meV per atom
Calculated volume = 165.28 Å³ per cell
Space group = P-3m1

abc: 4.970 4.970 7.727
angles: 90.00 90.00 120.00
Fractional coordinates of all 6 atoms:
1 Li 0.333 0.667 0.700
2 Li 0.667 0.333 0.300
3 Ac 0.000 0.000 0.000
4 Sm 0.000 0.000 0.500
5 Tl 0.333 0.667 0.282
6 Tl 0.667 0.333 0.718

***

First-principles (PBE) data for a geometry-optimized LiAc2SmTl4 structure, as listed in the Alexandria database.

Fermi-level density of states = 6.58 states/eV per cell
Energy relative to the elements = -322 meV per atom
Calculated volume = 249.76 Å³ per cell
Space group = R-3m

abc: 5.536 5.536 9.938
angles: 73.83 73.83 60.00
Fractional coordinates of all 8 atoms:
1 Li 0.500 0.500 0.500
2 Ac 0.755 0.755 0.734
3 Ac 0.245 0.245 0.266
4 Sm 0.000 0.000 0.000
5 Tl 0.374 0.374 0.877
6 Tl 0.874 0.874 0.378
7 Tl 0.126 0.126 0.622
8 Tl 0.626 0.626 0.123

***

First-principles (PBE) data for a geometry-optimized LiAcSm2Tl4 structure, as listed in the Alexandria database.

Fermi-level density of states = 5.93 states/eV per cell
Energy relative to the elements = -316 meV per atom
Calculated volume = 236.38 Å³ per cell
Space group = R-3m

abc: 5.368 5.368 9.967
angles: 74.38 74.38 60.00
Fractional coordinates of all 8 atoms:
1 Li 0.500 0.500 0.500
2 Ac 0.000 0.000 0.000
3 Sm 0.760 0.760 0.721
4 Sm 0.240 0.240 0.279
5 Tl 0.385 0.385 0.845
6 Tl 0.872 0.872 0.385
7 Tl 0.128 0.128 0.615
8 Tl 0.615 0.615 0.155

***

First-principles (PBE) data for a geometry-optimized LiAcSmY structure, as listed in the Alexandria database.

Fermi-level density of states = 4.33 states/eV per cell
Energy relative to the elements = 244 meV per atom
Calculated volume = 134.27 Å³ per cell
Space group = F-43m

abc: 5.748 5.748 5.748
angles: 60.00 60.00 60.00
Fractional coordinates of all 4 atoms:
1 Y 0.750 0.750 0.750
2 Ac 0.500 0.500 0.500
3 Sm 0.250 0.250 0.250
4 Li 0.000 0.000 0.000

***

What is the energy relative to the elements in the third record? -316 meV per atom

***

What is the calculated volume in the fourth record? 134.27 Å³ per cell